# 1
{"formula": "LiMn2F5", "functional": "GGA+U", "state": "relaxed", "lattice": [[2.060, -5.265, 0.000], [2.060, 5.265, 0.000], [0.000, 0.000, 10.452]], "species": ["Li", "Li", "Mn", "Mn", "Mn", "Mn", "F", "F", "F", "F", "F", "F", "F", "F", "F", "F"], "frac_coords": [[0.178, 0.822, 0.750], [0.822, 0.178, 0.250], [0.139, 0.861, 0.069], [0.139, 0.861, 0.431], [0.861, 0.139, 0.569], [0.861, 0.139, 0.931], [0.053, 0.947, 0.616], [0.053, 0.947, 0.884], [0.235, 0.765, 0.250], [0.308, 0.692, 0.568], [0.308, 0.692, 0.932], [0.692, 0.308, 0.068], [0.692, 0.308, 0.432], [0.765, 0.235, 0.750], [0.947, 0.053, 0.116], [0.947, 0.053, 0.384]], "dos_at_fermi_per_ev_atom": 0.000, "polymorph_energy_mev_per_atom": 0}



# 2
{"formula": "LiMnF4", "functional": "GGA+U", "state": "relaxed", "lattice": [[6.728, -1.960, 0.000], [6.728, 1.960, 0.000], [-1.954, 0.000, 6.081]], "species": ["Li", "Li", "Mn", "Mn", "F", "F", "F", "F", "F", "F", "F", "F"], "frac_coords": [[0.198, 0.198, 0.310], [0.802, 0.802, 0.690], [0.107, 0.107, 0.698], [0.893, 0.893, 0.302], [0.060, 0.060, 0.382], [0.140, 0.140, 0.995], [0.251, 0.251, 0.657], [0.388, 0.388, 0.308], [0.612, 0.612, 0.692], [0.749, 0.749, 0.343], [0.860, 0.860, 0.005], [0.940, 0.940, 0.618]], "final_energy_ev_per_cell": -64.922}



# 3
{"formula": "LiMnF5", "functional": "GGA+U", "state": "relaxed", "lattice": [[4.881, 0.000, 0.000], [0.000, 9.348, 0.000], [-2.394, 0.000, 8.424]], "species": ["Li", "Li", "Li", "Li", "Mn", "Mn", "Mn", "Mn", "F", "F", "F", "F", "F", "F", "F", "F", "F", "F", "F", "F", "F", "F", "F", "F", "F", "F", "F", "F"], "frac_coords": [[0.047, 0.198, 0.234], [0.047, 0.302, 0.734], [0.953, 0.698, 0.266], [0.953, 0.802, 0.766], [0.496, 0.091, 0.853], [0.496, 0.409, 0.353], [0.504, 0.591, 0.647], [0.504, 0.909, 0.147], [0.222, 0.110, 0.671], [0.222, 0.390, 0.171], [0.264, 0.721, 0.688], [0.264, 0.779, 0.188], [0.269, 0.555, 0.428], [0.269, 0.945, 0.928], [0.315, 0.228, 0.934], [0.315, 0.272, 0.434], [0.320, 0.051, 0.219], [0.320, 0.449, 0.719], [0.680, 0.551, 0.281], [0.680, 0.949, 0.781], [0.685, 0.728, 0.566], [0.685, 0.772, 0.066], [0.731, 0.055, 0.072], [0.731, 0.445, 0.572], [0.736, 0.221, 0.812], [0.736, 0.279, 0.312], [0.778, 0.610, 0.829], [0.778, 0.890, 0.329]], "dos_at_fermi_per_ev_atom": 0.000, "polymorph_energy_mev_per_atom": 32}



# 4
{"formula": "LiMnF4", "functional": "GGA+U", "state": "relaxed", "lattice": [[3.194, -3.351, 0.000], [3.194, 3.351, 0.000], [0.000, 0.000, 3.173]], "species": ["Li", "Mn", "F", "F", "F", "F"], "frac_coords": [[0.000, 0.000, 0.000], [0.500, 0.500, 0.500], [0.210, 0.210, 0.500], [0.307, 0.693, 0.000], [0.693, 0.307, 0.000], [0.790, 0.790, 0.500]], "final_energy_ev_per_cell": -32.666}



# 5
{"formula": "LiMnF5", "functional": "GGA+U", "state": "relaxed", "lattice": [[5.361, 0.000, 0.000], [0.425, 5.345, 0.000], [2.585, 2.387, 6.458]], "species": ["Li", "Li", "Mn", "Mn", "F", "F", "F", "F", "F", "F", "F", "F", "F", "F"], "frac_coords": [[0.091, 0.409, 0.250], [0.909, 0.591, 0.750], [0.500, 0.000, 0.000], [0.500, 0.000, 0.500], [0.205, 0.774, 0.144], [0.222, 0.204, 0.463], [0.275, 0.704, 0.643], [0.296, 0.277, 0.037], [0.426, 0.072, 0.750], [0.574, 0.928, 0.250], [0.704, 0.723, 0.963], [0.725, 0.296, 0.357], [0.778, 0.796, 0.537], [0.795, 0.226, 0.856]], "polymorph_energy_mev_per_atom": 5}



# 6
{"formula": "Li2MnF4", "functional": "GGA+U", "state": "relaxed", "lattice": [[-3.298, 3.302, 3.399], [3.298, -3.302, 3.399], [3.298, 3.302, -3.399]], "species": ["Li", "Li", "Li", "Li", "Mn", "Mn", "F", "F", "F", "F", "F", "F", "F", "F"], "frac_coords": [[0.227, 0.000, 0.227], [0.250, 0.523, 0.273], [0.250, 0.977, 0.727], [0.773, 0.000, 0.773], [0.597, 0.597, 0.000], [0.846, 0.346, 0.500], [0.015, 0.721, 0.294], [0.106, 0.296, 0.810], [0.427, 0.721, 0.706], [0.486, 0.296, 0.190], [0.546, 0.236, 0.690], [0.546, 0.856, 0.310], [0.970, 0.176, 0.206], [0.970, 0.764, 0.794]], "dos_at_fermi_per_ev_atom": 0.000, "polymorph_energy_mev_per_atom": 19}